No. 1
# PBE NaGaHg, optimized geometry
# density	6.24	g cm⁻³
# E_tot	-4.72	eV per cell
# E above lowest polymorph	0	meV/atom
data_NaGaHg
_chemical_formula_sum 'Na1 Ga1 Hg1'
_cell_length_a 4.7981
_cell_length_b 4.7981
_cell_length_c 4.7981
_cell_angle_alpha 60.00
_cell_angle_beta 60.00
_cell_angle_gamma 60.00
_space_group_name_H-M_alt 'P 1'
_space_group_IT_number 1
loop_
_space_group_symop_operation_xyz
'x,y,z'
loop_
_atom_site_label
_atom_site_type_symbol
_atom_site_fract_x
_atom_site_fract_y
_atom_site_fract_z
Na1 Na 0.0000 0.0000 0.0000
Ga1 Ga 0.5000 0.5000 0.5000
Hg1 Hg 0.7500 0.7500 0.7500

No. 2
# PBE NbGaHg, optimized geometry
# density	9.02	g cm⁻³
# E_tot	-11.74	eV per cell
# E above lowest polymorph	107	meV/atom
data_NbGaHg
_chemical_formula_sum 'Nb1 Ga1 Hg1'
_cell_length_a 4.5564
_cell_length_b 4.5564
_cell_length_c 4.5564
_cell_angle_alpha 60.00
_cell_angle_beta 60.00
_cell_angle_gamma 60.00
_space_group_name_H-M_alt 'P 1'
_space_group_IT_number 1
loop_
_space_group_symop_operation_xyz
'x,y,z'
loop_
_atom_site_label
_atom_site_type_symbol
_atom_site_fract_x
_atom_site_fract_y
_atom_site_fract_z
Nb1 Nb 0.0000 0.0000 0.0000
Ga1 Ga 0.7500 0.7500 0.7500
Hg1 Hg 0.2500 0.2500 0.2500

No. 3
# PBE NbGaHg, optimized geometry
# density	9.93	g cm⁻³
# E_tot	-12.06	eV per cell
# E above lowest polymorph	0	meV/atom
data_NbGaHg
_chemical_formula_sum 'Nb1 Ga1 Hg1'
_cell_length_a 4.4122
_cell_length_b 4.4122
_cell_length_c 4.4122
_cell_angle_alpha 60.00
_cell_angle_beta 60.00
_cell_angle_gamma 60.00
_space_group_name_H-M_alt 'P 1'
_space_group_IT_number 1
loop_
_space_group_symop_operation_xyz
'x,y,z'
loop_
_atom_site_label
_atom_site_type_symbol
_atom_site_fract_x
_atom_site_fract_y
_atom_site_fract_z
Nb1 Nb 0.0000 0.0000 0.0000
Ga1 Ga 0.7500 0.7500 0.7500
Hg1 Hg 0.5000 0.5000 0.5000

No. 4
# PBE Nd2GaHg5, optimized geometry
# density	11.40	g cm⁻³
# E_tot	-17.21	eV per cell
data_Nd2GaHg5
_chemical_formula_sum 'Nd2 Ga1 Hg5'
_cell_length_a 4.9774
_cell_length_b 6.8054
_cell_length_c 6.8054
_cell_angle_alpha 59.32
_cell_angle_beta 90.00
_cell_angle_gamma 90.00
_space_group_name_H-M_alt 'P 1'
_space_group_IT_number 1
loop_
_space_group_symop_operation_xyz
'x,y,z'
loop_
_atom_site_label
_atom_site_type_symbol
_atom_site_fract_x
_atom_site_fract_y
_atom_site_fract_z
Nd1 Nd 0.0000 0.0000 0.0000
Nd2 Nd 0.5000 0.3362 0.3362
Ga1 Ga 0.0000 0.5081 0.5081
Hg1 Hg 0.0000 0.5002 0.9890
Hg2 Hg 0.0000 0.9890 0.5002
Hg3 Hg 0.5000 0.3432 0.8196
Hg4 Hg 0.5000 0.8196 0.3432
Hg5 Hg 0.5000 0.8290 0.8290

No. 5
# PBE NdGaHg2, optimized geometry
# density	10.60	g cm⁻³
# E_tot	-20.00	eV per cell
data_NdGaHg2
_chemical_formula_sum 'Nd2 Ga2 Hg4'
_cell_length_a 4.9302
_cell_length_b 6.6836
_cell_length_c 6.6836
_cell_angle_alpha 61.02
_cell_angle_beta 90.00
_cell_angle_gamma 90.00
_space_group_name_H-M_alt 'P 1'
_space_group_IT_number 1
loop_
_space_group_symop_operation_xyz
'x,y,z'
loop_
_atom_site_label
_atom_site_type_symbol
_atom_site_fract_x
_atom_site_fract_y
_atom_site_fract_z
Nd1 Nd 0.0000 0.0000 0.0000
Nd2 Nd 0.5000 0.3288 0.3288
Ga1 Ga 0.5000 0.3529 0.8125
Ga2 Ga 0.5000 0.8125 0.3529
Hg1 Hg 0.0000 0.4956 0.9842
Hg2 Hg 0.0000 0.5033 0.5033
Hg3 Hg 0.0000 0.9842 0.4956
Hg4 Hg 0.5000 0.8240 0.8240

No. 6
# PBE NdGaHg2, optimized geometry
# density	10.64	g cm⁻³
# E_tot	-20.03	eV per cell
data_NdGaHg2
_chemical_formula_sum 'Nd2 Ga2 Hg4'
_cell_length_a 4.8955
_cell_length_b 6.6959
_cell_length_c 6.6959
_cell_angle_alpha 119.00
_cell_angle_beta 90.00
_cell_angle_gamma 90.00
_space_group_name_H-M_alt 'P 1'
_space_group_IT_number 1
loop_
_space_group_symop_operation_xyz
'x,y,z'
loop_
_atom_site_label
_atom_site_type_symbol
_atom_site_fract_x
_atom_site_fract_y
_atom_site_fract_z
Nd1 Nd 0.2500 0.1644 0.8356
Nd2 Nd 0.7500 0.8356 0.1644
Ga1 Ga 0.2500 0.6692 0.8181
Ga2 Ga 0.7500 0.8181 0.6692
Hg1 Hg 0.2500 0.1843 0.3497
Hg2 Hg 0.2500 0.6772 0.3601
Hg3 Hg 0.7500 0.3497 0.1843
Hg4 Hg 0.7500 0.3601 0.6772

No. 7
# PBE NdGaHg2, optimized geometry
# density	10.61	g cm⁻³
# E_tot	-20.02	eV per cell
data_NdGaHg2
_chemical_formula_sum 'Nd2 Ga2 Hg4'
_cell_length_a 6.7753
_cell_length_b 6.7753
_cell_length_c 4.9367
_cell_angle_alpha 90.00
_cell_angle_beta 90.00
_cell_angle_gamma 121.83
_space_group_name_H-M_alt 'P 1'
_space_group_IT_number 1
loop_
_space_group_symop_operation_xyz
'x,y,z'
loop_
_atom_site_label
_atom_site_type_symbol
_atom_site_fract_x
_atom_site_fract_y
_atom_site_fract_z
Nd1 Nd 0.1711 0.8289 0.7500
Nd2 Nd 0.8289 0.1711 0.2500
Ga1 Ga 0.3421 0.6579 0.2500
Ga2 Ga 0.6579 0.3421 0.7500
Hg1 Hg 0.1796 0.3425 0.7500
Hg2 Hg 0.3425 0.1796 0.2500
Hg3 Hg 0.6575 0.8204 0.7500
Hg4 Hg 0.8204 0.6575 0.2500

No. 8
# PBE Ga2NiHg, optimized geometry
# density	9.67	g cm⁻³
# E_tot	-11.14	eV per cell
data_Ga2NiHg
_chemical_formula_sum 'Ga2 Ni1 Hg1'
_cell_length_a 4.5916
_cell_length_b 4.5916
_cell_length_c 4.5916
_cell_angle_alpha 60.00
_cell_angle_beta 60.00
_cell_angle_gamma 60.00
_space_group_name_H-M_alt 'P 1'
_space_group_IT_number 1
loop_
_space_group_symop_operation_xyz
'x,y,z'
loop_
_atom_site_label
_atom_site_type_symbol
_atom_site_fract_x
_atom_site_fract_y
_atom_site_fract_z
Ga1 Ga 0.0000 0.0000 0.0000
Ga2 Ga 0.2500 0.2500 0.2500
Ni1 Ni 0.7500 0.7500 0.7500
Hg1 Hg 0.5000 0.5000 0.5000

No. 9
# PBE GaNiHgOs, optimized geometry
# density	13.97	g cm⁻³
# E_tot	-17.37	eV per cell
data_GaNiHgOs
_chemical_formula_sum 'Ga1 Ni1 Hg1 Os1'
_cell_length_a 4.4357
_cell_length_b 4.4357
_cell_length_c 4.4357
_cell_angle_alpha 60.00
_cell_angle_beta 60.00
_cell_angle_gamma 60.00
_space_group_name_H-M_alt 'P 1'
_space_group_IT_number 1
loop_
_space_group_symop_operation_xyz
'x,y,z'
loop_
_atom_site_label
_atom_site_type_symbol
_atom_site_fract_x
_atom_site_fract_y
_atom_site_fract_z
Ga1 Ga 0.0000 0.0000 0.0000
Ni1 Ni 0.2500 0.2500 0.2500
Hg1 Hg 0.7500 0.7500 0.7500
Os1 Os 0.5000 0.5000 0.5000

No. 10
# PBE GaNiHgPd, optimized geometry
# density	11.57	g cm⁻³
# E_tot	-14.58	eV per cell
# E above lowest polymorph	0	meV/atom
data_GaNiHgPd
_chemical_formula_sum 'Ga1 Ni1 Hg1 Pd1'
_cell_length_a 4.4547
_cell_length_b 4.4547
_cell_length_c 4.4547
_cell_angle_alpha 60.00
_cell_angle_beta 60.00
_cell_angle_gamma 60.00
_space_group_name_H-M_alt 'P 1'
_space_group_IT_number 1
loop_
_space_group_symop_operation_xyz
'x,y,z'
loop_
_atom_site_label
_atom_site_type_symbol
_atom_site_fract_x
_atom_site_fract_y
_atom_site_fract_z
Ga1 Ga 0.0000 0.0000 0.0000
Ni1 Ni 0.2500 0.2500 0.2500
Hg1 Hg 0.5000 0.5000 0.5000
Pd1 Pd 0.7500 0.7500 0.7500